# 1
Tb4IrSeS2 | PBE-GGA | relaxed

a = 3.9684 Å, b = 7.0287 Å, c = 7.0584 Å
α = 71.19°, β = 90.00°, γ = 90.00°
Sites, in units of the cell vectors:
Tb (0.0000, 0.7426, 0.7659)
Tb (0.0000, 0.2574, 0.2341)
Tb (0.5000, 0.7546, 0.2348)
Tb (0.5000, 0.2454, 0.7652)
Ir (0.5000, 0.5000, 0.0000)
Se (0.0000, 0.5000, 0.5000)
S (0.0000, 0.0000, 0.0000)
S (0.5000, 0.0000, 0.5000)

Values from the calculation:
As for the space group: P2/m, No. 10. For the total moment, the calculation gives 0.0 μB/f.u. The formation energy without anion corrections is -12.88 eV per formula unit.

# 2
Th6Ir3Se2S | PBE-GGA | relaxed

a = 7.1436 Å, b = 7.1436 Å, c = 7.6431 Å
α = 98.98°, β = 98.98°, γ = 119.96°
Sites, in units of the cell vectors:
Th (0.9072, 0.5791, 0.7216)
Th (0.7650, 0.7650, 0.2793)
Th (0.0928, 0.4209, 0.2784)
Th (0.5791, 0.9072, 0.7216)
Th (0.2350, 0.2350, 0.7207)
Th (0.4209, 0.0928, 0.2784)
Ir (0.1683, 0.8317, 0.5000)
Ir (0.8317, 0.1683, 0.5000)
Ir (0.5000, 0.5000, 0.5000)
Se (0.3335, 0.6665, 0.0000)
Se (0.6665, 0.3335, 0.0000)
S (0.0000, 0.0000, 0.0000)

Values from the calculation:
As for the space group: C2/m, No. 12. For the total moment, the calculation gives 0.0 μB/f.u. The formation energy without anion corrections is -15.92 eV per formula unit.

# 3
Th4IrSe2S | PBE-GGA | relaxed

a = 4.0836 Å, b = 7.4210 Å, c = 7.2686 Å
α = 71.09°, β = 90.00°, γ = 90.00°
Sites, in units of the cell vectors:
Th (0.0000, 0.7340, 0.7561)
Th (0.0000, 0.2660, 0.2439)
Th (0.5000, 0.7267, 0.2658)
Th (0.5000, 0.2733, 0.7342)
Ir (0.0000, 0.5000, 0.5000)
Se (0.0000, 0.0000, 0.0000)
Se (0.5000, 0.0000, 0.5000)
S (0.5000, 0.5000, 0.0000)

Values from the calculation:
As for the space group: P2/m, No. 10. For the total moment, the calculation gives 0.0 μB/f.u. The formation energy without anion corrections is -12.00 eV per formula unit.

# 4
Th6Ir3SeS2 | PBE-GGA | relaxed

a = 4.1166 Å, b = 8.6157 Å, c = 9.5193 Å
α = 106.73°, β = 102.49°, γ = 90.00°
Sites, in units of the cell vectors:
Th (0.3256, 0.9284, 0.6512)
Th (0.6621, 0.5926, 0.3243)
Th (0.6744, 0.0716, 0.3488)
Th (0.9949, 0.2671, 0.9898)
Th (0.0051, 0.7329, 0.0102)
Th (0.3379, 0.4074, 0.6757)
Ir (0.5000, 0.5000, 0.0000)
Ir (0.8336, 0.1691, 0.6672)
Ir (0.1664, 0.8309, 0.3328)
Se (0.5000, 0.0000, 0.0000)
S (0.8333, 0.6678, 0.6667)
S (0.1667, 0.3322, 0.3333)

Values from the calculation:
As for the space group: C2/m, No. 12. For the total moment, the calculation gives 0.0 μB/f.u. The formation energy without anion corrections is -16.11 eV per formula unit.

# 5
Tm4IrSe2S | PBE-GGA | relaxed

a = 3.9329 Å, b = 7.0395 Å, c = 7.0297 Å
α = 71.39°, β = 90.00°, γ = 90.00°
Sites, in units of the cell vectors:
Tm (0.0000, 0.7221, 0.7684)
Tm (0.0000, 0.2779, 0.2316)
Tm (0.5000, 0.7284, 0.2489)
Tm (0.5000, 0.2716, 0.7511)
Ir (0.5000, 0.5000, 0.0000)
Se (0.0000, 0.0000, 0.0000)
Se (0.5000, 0.0000, 0.5000)
S (0.0000, 0.5000, 0.5000)

Values from the calculation:
As for the space group: P2/m, No. 10. For the total moment, the calculation gives 0.0 μB/f.u. The formation energy without anion corrections is -12.33 eV per formula unit.

# 6
U2IrSeS4 | PBE-GGA | relaxed

a = 3.7554 Å, b = 5.4332 Å, c = 9.1031 Å
α = 77.51°, β = 78.10°, γ = 69.78°
Each line ends with the local moment (μB).
Sites, in units of the cell vectors:
U (0.8584, 0.5408, 0.7424)  2.36
U (0.1416, 0.4592, 0.2576)  2.36
Ir (0.0000, 0.0000, 0.0000)  0.12
Se (0.5000, 0.5000, 0.5000)  -0.09
S (0.1574, 0.9507, 0.7345)  -0.06
S (0.3698, 0.2984, 0.9619)  -0.04
S (0.8426, 0.0493, 0.2655)  -0.06
S (0.6302, 0.7016, 0.0381)  -0.04

Values from the calculation:
As for the space group: C2/m, No. 12. For the total moment, the calculation gives 5.0 μB/f.u. The formation energy without anion corrections is -7.88 eV per formula unit.

# 7
Y4IrSeS2 | PBE-GGA | relaxed

a = 3.9631 Å, b = 7.0182 Å, c = 7.0350 Å
α = 71.23°, β = 90.00°, γ = 90.00°
Sites, in units of the cell vectors:
Y (0.0000, 0.7436, 0.7652)
Y (0.0000, 0.2564, 0.2348)
Y (0.5000, 0.7540, 0.2340)
Y (0.5000, 0.2460, 0.7660)
Ir (0.5000, 0.5000, 0.0000)
Se (0.0000, 0.5000, 0.5000)
S (0.0000, 0.0000, 0.0000)
S (0.5000, 0.0000, 0.5000)

Values from the calculation:
As for the space group: P2/m, No. 10. For the total moment, the calculation gives 0.0 μB/f.u. The formation energy without anion corrections is -12.81 eV per formula unit.

# 8
ZrIrSeS2 | PBE-GGA | relaxed

a = 4.8550 Å, b = 5.3392 Å, c = 4.8550 Å
α = 90.00°, β = 90.00°, γ = 90.00°
Each line ends with the local moment (μB).
Sites, in units of the cell vectors:
S (0.0000, 0.0000, 0.5000)  0.20
S (0.5000, 0.0000, 0.0000)  0.17
Ir (0.5000, 0.5000, 0.5000)  2.07
Se (0.0000, 0.5000, 0.0000)  0.15
Zr (0.0000, 0.0000, 0.0000)  0.00

Values from the calculation:
Its relative energy among the computed polymorphs is 0 meV per atom. As for the space group: P4/mmm, No. 123. For the total moment, the calculation gives 3.0 μB/f.u. The formation energy without anion corrections is 2.65 eV per formula unit.

# 9
ZrIrSeS2 | PBE-GGA | relaxed

a = 4.6714 Å, b = 4.6678 Å, c = 4.6714 Å
α = 90.00°, β = 90.00°, γ = 90.00°
Sites, in units of the cell vectors:
S (0.0000, 0.0000, 0.5000)
S (0.5000, 0.0000, 0.0000)
Ir (0.0000, 0.5000, 0.0000)
Se (0.0000, 0.0000, 0.0000)
Zr (0.5000, 0.5000, 0.5000)

Values from the calculation:
Its relative energy among the computed polymorphs is 90 meV per atom. As for the space group: P4/mmm, No. 123. For the total moment, the calculation gives 0.0 μB/f.u. The formation energy without anion corrections is 3.10 eV per formula unit.

# 10
Si2IrS | PBE-GGA | relaxed

a = 5.5215 Å, b = 5.5215 Å, c = 6.4328 Å
α = 64.59°, β = 64.59°, γ = 90.00°
Sites, in units of the cell vectors:
S (0.5000, 0.5000, 0.0000)
S (0.2500, 0.7500, 0.5000)
Ir (0.0000, 0.0000, 0.0000)
Ir (0.7500, 0.2500, 0.5000)
Si (0.6410, 0.1250, 0.2500)
Si (0.1090, 0.6250, 0.2500)
Si (0.3750, 0.3590, 0.7500)
Si (0.8750, 0.8910, 0.7500)

Values from the calculation:
As for the space group: I-42d, No. 122. For the total moment, the calculation gives 0.0 μB/f.u. The formation energy without anion corrections is -0.53 eV per formula unit.

# 11
Si2IrS6 | PBE-GGA | relaxed

a = 6.1279 Å, b = 7.6566 Å, c = 7.6566 Å
α = 84.46°, β = 81.36°, γ = 81.36°
Sites, in units of the cell vectors:
Si (0.1721, 0.6141, 0.7789)
Si (0.3279, 0.2211, 0.3859)
Si (0.8279, 0.3859, 0.2211)
Si (0.6721, 0.7789, 0.6141)
Ir (0.2500, 0.1003, 0.8997)
Ir (0.7500, 0.8997, 0.1003)
S (0.3685, 0.7164, 0.5422)
S (0.1315, 0.4578, 0.2836)
S (0.6315, 0.2836, 0.4578)
S (0.8685, 0.5422, 0.7164)
S (0.8705, 0.8755, 0.3804)
S (0.6295, 0.6196, 0.1245)
S (0.1295, 0.1245, 0.6196)
S (0.3705, 0.3804, 0.8755)
S (0.1287, 0.8092, 0.9786)
S (0.3713, 0.0214, 0.1908)
S (0.8713, 0.1908, 0.0214)
S (0.6287, 0.9786, 0.8092)

Values from the calculation:
As for the space group: C2/c, No. 15. For the total moment, the calculation gives 0.0 μB/f.u. The formation energy without anion corrections is -3.15 eV per formula unit.

# 12
SiIr3S | PBE-GGA | relaxed

a = 4.4265 Å, b = 4.4265 Å, c = 4.4265 Å
α = 90.00°, β = 90.00°, γ = 90.00°
Sites, in units of the cell vectors:
S (0.0000, 0.0000, 0.0000)
Ir (0.0000, 0.5000, 0.0000)
Ir (0.0000, 0.0000, 0.5000)
Ir (0.5000, 0.0000, 0.0000)
Si (0.5000, 0.5000, 0.5000)

Values from the calculation:
Its relative energy among the computed polymorphs is 0 meV per atom. As for the space group: Pm-3m, No. 221. For the total moment, the calculation gives 0.0 μB/f.u. The formation energy without anion corrections is 4.99 eV per formula unit.